No. 1
This record from Alexandria via LeMat-Bulk describes crystalline Dy2HoScO6 at its relaxed geometry. The functional is PBE. Values from VASP.

Computed properties:
Its size of the total moment is 0.00 μB per cell. The density of states at the Fermi level is 0.0000 states/eV per atom. As for the total energy: -8.518 eV per atom. The crystal system is trigonal.

Structure (Quantum ESPRESSO input):
```
&SYSTEM
  ibrav = 0, nat = 10, ntyp = 4
/
ATOMIC_SPECIES
O 16.00 O.upf
Sc 44.96 Sc.upf
Ho 164.93 Ho.upf
Dy 162.50 Dy.upf
ATOMIC_POSITIONS angstrom
O 4.5610 5.0657 1.2498
O 6.5561 4.6767 3.7745
O 4.0670 3.3400 3.7744
O 4.7276 1.4171 1.2499
O 7.8040 3.3857 1.2500
O 6.4692 1.8526 3.7746
Sc 2.8488 1.6446 0.3111
Ho 8.5462 4.9344 2.8615
Dy 2.8486 1.6450 4.5799
Dy 5.6974 3.2895 2.0661
CELL_PARAMETERS angstrom
5.6975 0.0000 0.0003
2.8487 4.9342 0.0002
2.8487 1.6450 4.9628
```


No. 2
This record from Alexandria via LeMat-Bulk describes crystalline DyHoSeO2 at its relaxed geometry. The functional is PBE. Values from VASP.

Computed properties:
Its size of the total moment is 0.00 μB per cell. The density of states at the Fermi level is 0.0000 states/eV per atom. As for the total energy: -7.642 eV per atom. The crystal system is monoclinic.

Structure (Quantum ESPRESSO input):
```
&SYSTEM
  ibrav = 0, nat = 10, ntyp = 4
/
ATOMIC_SPECIES
Dy 162.50 Dy.upf
O 16.00 O.upf
Ho 164.93 Ho.upf
Se 78.96 Se.upf
ATOMIC_POSITIONS angstrom
Dy 2.9999 1.9196 0.4472
Dy 1.0000 2.7140 6.5553
O 1.0000 2.0307 4.3832
O 2.9999 1.7663 6.2650
O 2.9999 2.6029 2.6194
O 1.0000 2.8673 0.7376
Ho 2.9999 1.0250 4.1835
Ho 1.0000 3.6086 2.8191
Se 2.9999 5.7132 1.4333
Se 1.0000 -1.0797 5.5693
CELL_PARAMETERS angstrom
3.9998 0.0000 0.0000
0.0000 6.4444 -0.3486
0.0000 -1.8109 7.3511
```